[1]
Computed, not measured: a geometry-optimized PaNb2Au structure at the GGA-PBE level of DFT.

Cell: 3.6579 4.6390 4.6390 Å, 90.00 90.00 90.00°
Element x y z (fractional)
Nb 0.0000 0.0000 0.5000
Nb 0.0000 0.5000 0.0000
Pa 0.5000 0.0000 0.0000
Au 0.5000 0.5000 0.5000

Values from the calculation:
* volume: 19.68 A^3/atom
* N(E_F): 7.306 states/eV/f.u.
* formation enthalpy at 0 K: 0.002 eV/atom
* excess energy over the best structure of this formula in the dataset: 0 meV/atom
* magnetization: 0.000 μB per cell
* E_tot: -32.906 eV for the cell shown

---

[2]
Computed, not measured: a geometry-optimized NbPb2Au structure at the GGA-PBE level of DFT.

Cell: 3.2561 3.2561 10.7339 Å, 81.28 81.28 60.00°
Element x y z (fractional)
Pb 0.0913 0.0913 0.7261
Pb 0.9087 0.9087 0.2739
Nb 0.0000 0.0000 0.0000
Au 0.5000 0.5000 0.5000

Values from the calculation:
* volume: 24.26 A^3/atom
* N(E_F): 2.141 states/eV/f.u.
* formation enthalpy at 0 K: 0.555 eV/atom
* excess energy over the best structure of this formula in the dataset: 28 meV/atom
* magnetization: 0.000 μB per cell
* E_tot: -18.544 eV for the cell shown

---

[3]
Computed, not measured: a geometry-optimized NbPb2Au structure at the GGA-PBE level of DFT.

Cell: 5.0514 5.0514 5.0514 Å, 60.00 60.00 60.00°
Element x y z (fractional)
Pb 0.2500 0.2500 0.2500
Pb 0.7500 0.7500 0.7500
Nb 0.0000 0.0000 0.0000
Au 0.5000 0.5000 0.5000

Values from the calculation:
* volume: 22.79 A^3/atom
* N(E_F): 3.477 states/eV/f.u.
* formation enthalpy at 0 K: 0.527 eV/atom
* excess energy over the best structure of this formula in the dataset: 0 meV/atom
* magnetization: 0.000 μB per cell
* E_tot: -18.655 eV for the cell shown

---

[4]
Computed, not measured: a geometry-optimized NbPb3Au structure at the GGA-PBE level of DFT.

Cell: 5.4871 5.4871 5.4871 Å, 90.00 90.00 90.00°
Element x y z (fractional)
Pb 0.0000 0.5000 0.0000
Pb 0.0000 0.0000 0.5000
Pb 0.5000 0.0000 0.0000
Nb 0.5000 0.5000 0.5000
Au 0.0000 0.0000 0.0000

Values from the calculation:
* volume: 33.04 A^3/atom
* N(E_F): 5.617 states/eV/f.u.
* formation enthalpy at 0 K: 1.009 eV/atom
* excess energy over the best structure of this formula in the dataset: 408 meV/atom
* magnetization: 3.338 μB per cell
* E_tot: -19.426 eV for the cell shown

---

[5]
Computed, not measured: a geometry-optimized NbPb2Au2 structure at the GGA-PBE level of DFT.

Cell: 7.3626 7.3626 4.3150 Å, 90.00 90.00 90.00°
Element x y z (fractional)
Pb 0.1770 0.6770 0.5000
Pb 0.6770 0.8230 0.5000
Pb 0.8230 0.3230 0.5000
Pb 0.3230 0.1770 0.5000
Nb 0.0000 0.0000 0.0000
Nb 0.5000 0.5000 0.0000
Au 0.3658 0.8658 0.0000
Au 0.8658 0.6342 0.0000
Au 0.6342 0.1342 0.0000
Au 0.1342 0.3658 0.0000

Values from the calculation:
* volume: 23.39 A^3/atom
* N(E_F): 3.967 states/eV/f.u.
* formation enthalpy at 0 K: 0.318 eV/atom
* excess energy over the best structure of this formula in the dataset: 0 meV/atom
* magnetization: 1.638 μB per cell
* E_tot: -44.906 eV for the cell shown

---

[6]
Computed, not measured: a geometry-optimized NbPb2Au2 structure at the GGA-PBE level of DFT.

Cell: 4.3018 4.3018 7.3997 Å, 73.10 73.10 90.00°
Element x y z (fractional)
Pb 0.7500 0.2500 0.5000
Pb 0.2500 0.7500 0.5000
Nb 0.0000 0.0000 0.0000
Au 0.4036 0.4036 0.1928
Au 0.5964 0.5964 0.8072

Values from the calculation:
* volume: 24.97 A^3/atom
* N(E_F): 4.705 states/eV/f.u.
* formation enthalpy at 0 K: 0.630 eV/atom
* excess energy over the best structure of this formula in the dataset: 312 meV/atom
* magnetization: 2.549 μB per cell
* E_tot: -20.893 eV for the cell shown

---

[7]
Computed, not measured: a geometry-optimized Nb3PbAu structure at the GGA-PBE level of DFT.

Cell: 5.0029 5.0029 5.0029 Å, 90.00 90.00 90.00°
Element x y z (fractional)
Pb 0.5000 0.5000 0.5000
Nb 0.0000 0.5000 0.0000
Nb 0.0000 0.0000 0.5000
Nb 0.5000 0.0000 0.0000
Au 0.0000 0.0000 0.0000

Values from the calculation:
* volume: 25.04 A^3/atom
* N(E_F): 6.574 states/eV/f.u.
* formation enthalpy at 0 K: 1.308 eV/atom
* excess energy over the best structure of this formula in the dataset: 0 meV/atom
* magnetization: 0.000 μB per cell
* E_tot: -30.656 eV for the cell shown

---

[8]
Computed, not measured: a geometry-optimized NbPb3Au structure at the GGA-PBE level of DFT.

Cell: 5.4983 5.4983 5.4983 Å, 90.00 90.00 90.00°
Element x y z (fractional)
Pb 0.0000 0.5000 0.0000
Pb 0.0000 0.0000 0.5000
Pb 0.5000 0.0000 0.0000
Nb 0.0000 0.0000 0.0000
Au 0.5000 0.5000 0.5000

Values from the calculation:
* volume: 33.24 A^3/atom
* N(E_F): 4.081 states/eV/f.u.
* formation enthalpy at 0 K: 0.601 eV/atom
* excess energy over the best structure of this formula in the dataset: 0 meV/atom
* magnetization: 0.000 μB per cell
* E_tot: -21.468 eV for the cell shown

---

[9]
Computed, not measured: a geometry-optimized Nb2PbAu structure at the GGA-PBE level of DFT.

Cell: 7.6388 7.6388 6.1379 Å, 51.52 51.52 90.00°
Element x y z (fractional)
Pb 0.0000 0.0000 0.0000
Pb 0.7500 0.2500 0.5000
Nb 0.6135 0.1250 0.2500
Nb 0.1365 0.6250 0.2500
Nb 0.3750 0.3865 0.7500
Nb 0.8750 0.8635 0.7500
Au 0.5000 0.5000 0.0000
Au 0.2500 0.7500 0.5000

Values from the calculation:
* volume: 21.26 A^3/atom
* N(E_F): 3.021 states/eV/f.u.
* formation enthalpy at 0 K: 0.478 eV/atom
* magnetization: 0.000 μB per cell
* E_tot: -50.428 eV for the cell shown

---

[10]
Computed, not measured: a geometry-optimized Nb3PbAu structure at the GGA-PBE level of DFT.

Cell: 5.1076 5.1076 5.1076 Å, 90.00 90.00 90.00°
Element x y z (fractional)
Pb 0.0000 0.0000 0.0000
Nb 0.0000 0.5000 0.0000
Nb 0.0000 0.0000 0.5000
Nb 0.5000 0.0000 0.0000
Au 0.5000 0.5000 0.5000

Values from the calculation:
* volume: 26.65 A^3/atom
* N(E_F): 2.653 states/eV/f.u.
* formation enthalpy at 0 K: 1.999 eV/atom
* excess energy over the best structure of this formula in the dataset: 691 meV/atom
* magnetization: 0.000 μB per cell
* E_tot: -27.199 eV for the cell shown

---

[11]
Computed, not measured: a geometry-optimized NbRhPb2Au structure at the GGA-PBE level of DFT.

Cell: 5.0509 5.1047 5.0509 Å, 90.00 90.00 90.00°
Element x y z (fractional)
Pb 0.0000 0.0000 0.5000
Pb 0.5000 0.0000 0.0000
Rh 0.0000 0.0000 0.0000
Nb 0.5000 0.5000 0.5000
Au 0.0000 0.5000 0.0000

Values from the calculation:
* volume: 26.05 A^3/atom
* N(E_F): 7.655 states/eV/f.u.
* formation enthalpy at 0 K: 0.993 eV/atom
* magnetization: 0.067 μB per cell
* E_tot: -23.148 eV for the cell shown

---

[12]
Computed, not measured: a geometry-optimized Nb2TePbAu structure at the GGA-PBE level of DFT.

Cell: 5.2001 5.4597 5.2001 Å, 90.00 90.00 90.00°
Element x y z (fractional)
Pb 0.0000 0.5000 0.0000
Nb 0.0000 0.0000 0.5000
Nb 0.5000 0.0000 0.0000
Te 0.5000 0.5000 0.5000
Au 0.0000 0.0000 0.0000

Values from the calculation:
* volume: 29.53 A^3/atom
* N(E_F): 6.888 states/eV/f.u.
* formation energy (no corrections): 1205 meV per atom
* magnetization: 4.327 μB per cell
* E_tot: -24.239 eV for the cell shown

---

[13]
Computed, not measured: a geometry-optimized NbPbWAu2 structure at the GGA-PBE level of DFT.

Cell: 4.9871 5.2111 4.9871 Å, 90.00 90.00 90.00°
Element x y z (fractional)
Pb 0.0000 0.0000 0.0000
Nb 0.5000 0.5000 0.5000
Au 0.0000 0.0000 0.5000
Au 0.5000 0.0000 0.0000
W 0.0000 0.5000 0.0000

Values from the calculation:
* volume: 25.92 A^3/atom
* N(E_F): 5.341 states/eV/f.u.
* formation enthalpy at 0 K: 2.132 eV/atom
* magnetization: 0.503 μB per cell
* E_tot: -22.625 eV for the cell shown

---

[14]
Computed, not measured: a geometry-optimized NbPd2Au structure at the GGA-PBE level of DFT.

Cell: 5.5702 4.7243 4.9818 Å, 90.00 90.00 90.00°
Element x y z (fractional)
Nb 0.0000 0.5000 0.7041
Nb 0.5000 0.0000 0.4064
Pd 0.7506 0.0000 0.8856
Pd 0.2494 0.0000 0.8856
Pd 0.0000 0.0000 0.3987
Pd 0.5000 0.5000 0.6987
Au 0.2515 0.5000 0.2047
Au 0.7485 0.5000 0.2047

Values from the calculation:
* volume: 16.39 A^3/atom
* N(E_F): 2.913 states/eV/f.u.
* formation enthalpy at 0 K: -0.308 eV/atom
* excess energy over the best structure of this formula in the dataset: 17 meV/atom
* magnetization: 0.000 μB per cell
* E_tot: -49.927 eV for the cell shown

---

[15]
Computed, not measured: a geometry-optimized NbPd2Au structure at the GGA-PBE level of DFT.

Cell: 4.9185 4.9439 5.6507 Å, 90.19 104.56 97.64°
Element x y z (fractional)
Nb 0.3946 0.4183 0.0334
Nb 0.8467 0.1505 0.6160
Pd 0.3721 0.9295 0.7768
Pd 0.8596 0.6615 0.3827
Pd 0.8842 0.1701 0.1264
Pd 0.3815 0.9230 0.2707
Au 0.8810 0.6621 0.8833
Au 0.3505 0.4151 0.5222

Values from the calculation:
* volume: 16.46 A^3/atom
* N(E_F): 2.685 states/eV/f.u.
* formation enthalpy at 0 K: -0.293 eV/atom
* excess energy over the best structure of this formula in the dataset: 32 meV/atom
* magnetization: 0.000 μB per cell
* E_tot: -49.806 eV for the cell shown

---

[16]
Computed, not measured: a geometry-optimized NbPd5Au6 structure at the GGA-PBE level of DFT.

Cell: 5.0305 6.3890 6.3890 Å, 84.30 96.98 96.98°
Element x y z (fractional)
Nb 0.0000 0.0000 0.0000
Au 0.7460 0.9154 0.5839
Au 0.2540 0.4161 0.0846
Au 0.2411 0.7460 0.7460
Au 0.7589 0.2540 0.2540
Au 0.7460 0.5839 0.9154
Au 0.2540 0.0846 0.4161
Pd 0.5000 0.8386 0.1614
Pd 0.0000 0.6771 0.3229
Pd 0.5000 0.5000 0.5000
Pd 0.0000 0.3229 0.6771
Pd 0.5000 0.1614 0.8386

Values from the calculation:
* volume: 16.80 A^3/atom
* N(E_F): 7.409 states/eV/f.u.
* formation enthalpy at 0 K: -0.123 eV/atom
* magnetization: 0.000 μB per cell
* E_tot: -57.168 eV for the cell shown

---

[17]
Computed, not measured: a geometry-optimized NbPd6Au structure at the GGA-PBE level of DFT.

Cell: 6.9723 7.4471 5.0897 Å, 42.82 46.89 57.53°
Element x y z (fractional)
Nb 0.5000 0.5000 0.5000
Pd 0.9575 0.4756 0.8165
Pd 0.7507 0.9601 0.7659
Pd 0.4754 0.2491 0.3179
Pd 0.2493 0.0399 0.2341
Pd 0.0425 0.5244 0.1835
Pd 0.5246 0.7509 0.6821
Au 0.0000 0.0000 0.0000

Values from the calculation:
* volume: 16.35 A^3/atom
* N(E_F): 6.797 states/eV/f.u.
* formation enthalpy at 0 K: -0.131 eV/atom
* excess energy over the best structure of this formula in the dataset: 175 meV/atom
* magnetization: 0.000 μB per cell
* E_tot: -45.549 eV for the cell shown

---

[18]
Computed, not measured: a geometry-optimized NbPd2Au structure at the GGA-PBE level of DFT.

Cell: 2.8758 2.8758 9.4828 Å, 81.28 81.28 60.00°
Element x y z (fractional)
Nb 0.0000 0.0000 0.0000
Au 0.5000 0.5000 0.5000
Pd 0.2529 0.2529 0.2414
Pd 0.7471 0.7471 0.7586

Values from the calculation:
* volume: 16.72 A^3/atom
* N(E_F): 2.474 states/eV/f.u.
* formation enthalpy at 0 K: -0.194 eV/atom
* excess energy over the best structure of this formula in the dataset: 130 meV/atom
* magnetization: 0.000 μB per cell
* E_tot: -24.511 eV for the cell shown

---

[19]
Computed, not measured: a geometry-optimized NbPd2Au structure at the GGA-PBE level of DFT.

Cell: 4.9188 4.9851 5.5970 Å, 90.14 104.60 97.27°
Element x y z (fractional)
Nb 0.7272 0.8711 0.7826
Nb 0.2728 0.1289 0.2174
Pd 0.7391 0.3695 0.5543
Pd 0.2609 0.6305 0.4457
Pd 0.2325 0.1197 0.6991
Pd 0.7675 0.8803 0.3009
Au 0.7529 0.3670 0.0541
Au 0.2471 0.6330 0.9459

Values from the calculation:
* volume: 16.46 A^3/atom
* N(E_F): 2.408 states/eV/f.u.
* formation enthalpy at 0 K: -0.293 eV/atom
* excess energy over the best structure of this formula in the dataset: 32 meV/atom
* magnetization: 0.000 μB per cell
* E_tot: -49.807 eV for the cell shown

---

[20]
Computed, not measured: a geometry-optimized Nb3Pd6Au structure at the GGA-PBE level of DFT.

Cell: 4.7849 9.1821 9.1821 Å, 123.28 90.00 90.00°
Element x y z (fractional)
Nb 0.4657 0.9292 0.7344
Nb 0.9657 0.7344 0.9292
Nb 0.0730 0.3958 0.6042
Nb 0.5730 0.6042 0.3958
Nb 0.9657 0.0708 0.2656
Nb 0.4657 0.2656 0.0708
Pd 0.0284 0.7079 0.6171
Pd 0.5284 0.6171 0.7079
Pd 0.3320 0.5500 0.9551
Pd 0.8320 0.9551 0.5500
Pd 0.4524 0.9513 0.0487
Pd 0.6510 0.3032 0.6968
Pd 0.1510 0.6968 0.3032
Pd 0.9524 0.0487 0.9513
Pd 0.3320 0.0449 0.4500
Pd 0.8320 0.4500 0.0449
Pd 0.0284 0.3829 0.2921
Pd 0.5284 0.2921 0.3829
Au 0.1569 0.2119 0.7881
Au 0.6569 0.7881 0.2119

Values from the calculation:
* volume: 16.86 A^3/atom
* N(E_F): 7.887 states/eV/f.u.
* formation enthalpy at 0 K: -0.153 eV/atom
* magnetization: 0.000 μB per cell
* E_tot: -132.353 eV for the cell shown